First-principles (PBE with a Hubbard U) data for an optimized crystal structure of TiCoO2, as listed in Alexandria via LeMat-Bulk.

```
TiCoO2
1.0
0.000 2.644 2.644
2.644 0.000 2.644
2.644 2.644 0.000
O Co Ti
2 1 1
direct
0.750 0.750 0.750
0.250 0.250 0.250
0.500 0.500 0.500
0.000 0.000 0.000
```

Computed properties:
E_tot ... -27.49 eV/cell
Mass density ... 6.2 Mg/m³
Energy relative to the lowest polymorph listed for this composition ... 2.77 eV per formula unit